Entry 1:
# BaAsPdSe2

An optimized crystal structure of BaAsPdSe2 (PBE, the Alexandria database).

The space group is P4/mmm (No. 123) and the conventional cell measures 6.0890, 6.0890 and 6.1628 Å, with angles of 90.00, 90.00 and 90.00 degrees. The inequivalent atoms are Ba at (0.0000, 0.0000, 0.0000), As at (0.0000, 0.0000, 0.5000), Pd at (0.5000, 0.5000, 0.5000) and Se at (0.0000, 0.5000, 0.0000).

The total magnetization is 3.46 Bohr magnetons per cell. Its crystal system is tetragonal. Its density of states at the Fermi level is 14.73 states/eV per cell. The energy relative to the elements, uncorrected is 954 meV/atom. As for the energy relative to the lowest polymorph listed for this composition: 1.5988 eV per atom.

---

Entry 2:
# K3GeO3

An optimized crystal structure of K3GeO3 (PBE, the Alexandria database).

The space group is Cmce (No. 64) and the conventional cell measures 14.9840, 9.5842 and 9.7807 Å, with angles of 90.00, 90.00 and 90.00 degrees. The inequivalent atoms are K at (0.0000, 0.2081, 0.1512), K at (0.1733, 0.1677, 0.8765), Ge at (0.0926, 0.0000, 0.5000), O at (0.0000, 0.0859, 0.3986) and O at (0.1509, 0.1310, 0.5879).

The total magnetization is 0.00 Bohr magnetons per cell. Its crystal system is orthorhombic. Its density of states at the Fermi level is 6.17 states/eV per cell. The energy relative to the elements, uncorrected is -1423 meV/atom. As for the energy relative to the lowest polymorph listed for this composition: 0.0000 eV per atom.

---

Entry 3:
# Tb6Pm2Nd3Mg

An optimized crystal structure of Tb6Pm2Nd3Mg (PBE, the Alexandria database).

The space group is C2/m (No. 12) and the conventional cell measures 6.2011, 10.7473 and 11.8780 Å, with angles of 90.00, 100.06 and 90.00 degrees. The inequivalent atoms are Tb at (0.2477, 0.1658, 0.2473), Tb at (0.2493, 0.0000, 0.7517), Pm at (0.0000, 0.3335, 0.0000), Nd at (0.0000, 0.1663, 0.5000), Nd at (0.0000, 0.5000, 0.5000) and Mg at (0.0000, 0.0000, 0.0000).

The total magnetization is 0.00 Bohr magnetons per cell. Its crystal system is monoclinic. The formation energy is 0.023 eV/atom. Its density of states at the Fermi level is 35.26 states/eV per cell.

---

Entry 4:
# HoTmH

An optimized crystal structure of HoTmH (PBE, the Alexandria database).

The space group is P3m1 (No. 156) and the conventional cell measures 3.5790, 3.5790 and 5.4930 Å, with angles of 90.00, 90.00 and 120.00 degrees. The inequivalent atoms are Ho at (0.0000, 0.0000, 0.0000), Tm at (0.3333, 0.6667, 0.4912) and H at (0.6667, 0.3333, 0.2479).

The total magnetization is 0.00 Bohr magnetons per cell. Its crystal system is trigonal. Its density of states at the Fermi level is 2.89 states/eV per cell. As for the energy relative to the lowest polymorph listed for this composition: 0.0000 eV per atom.

---

Entry 5:
# Bi2Pd2Au3

An optimized crystal structure of Bi2Pd2Au3 (PBE, the Alexandria database).

The space group is P-1 (No. 2) and the conventional cell measures 4.4196, 5.4021 and 6.7565 Å, with angles of 104.01, 93.67 and 108.56 degrees. The inequivalent atoms are Bi at (0.1866, 0.2712, 0.2206), Pd at (0.3492, 0.7476, 0.0542), Au at (0.1429, 0.3088, 0.6838) and Au at (0.5000, 0.0000, 0.5000).

The total magnetization is 0.00 Bohr magnetons per cell. Its crystal system is triclinic. The formation energy is -0.115 eV/atom. Its density of states at the Fermi level is 2.57 states/eV per cell.

---

Entry 6:
# Ba3CaH7

An optimized crystal structure of Ba3CaH7 (PBE, the Alexandria database).

The space group is C222_1 (No. 20) and the conventional cell measures 8.4871, 12.2729 and 8.6238 Å, with angles of 90.00, 90.00 and 90.00 degrees. The inequivalent atoms are Ba at (0.0005, 0.0000, 0.0000), Ba at (0.2337, 0.2661, 0.2511), Ca at (0.0009, 0.5000, 0.0000), H at (0.0000, 0.1284, 0.2500), H at (0.0000, 0.1282, 0.7500), H at (0.0000, 0.4250, 0.2500), H at (0.2083, 0.3809, 0.5245) and H at (0.2102, 0.3808, 0.9781).

The total magnetization is 0.00 Bohr magnetons per cell. Its crystal system is orthorhombic. Its density of states at the Fermi level is 10.78 states/eV per cell. The calculated total energy comes out at -3.30 eV per atom.

---

Entry 7:
# P2OsRu

An optimized crystal structure of P2OsRu (PBE, the Alexandria database).

The space group is F-43m (No. 216) and the conventional cell measures 6.0727, 6.0727 and 6.0727 Å, with angles of 90.00, 90.00 and 90.00 degrees. The inequivalent atoms are P at (0.0000, 0.0000, 0.0000), P at (0.2500, 0.2500, 0.2500), Os at (0.0000, 0.0000, 0.5000) and Ru at (0.2500, 0.2500, 0.7500).

The total magnetization is 0.00 Bohr magnetons per cell. Its crystal system is cubic. The formation energy is 0.673 eV/atom. Its density of states at the Fermi level is 22.32 states/eV per cell. As for the energy relative to the lowest polymorph listed for this composition: 1.0195 eV per atom.

---

Entry 8:
# CaScO2F

An optimized crystal structure of CaScO2F (PBE, the Alexandria database).

The space group is P4/mmm (No. 123) and the conventional cell measures 4.1113, 4.1113 and 4.0182 Å, with angles of 90.00, 90.00 and 90.00 degrees. The inequivalent atoms are Ca at (0.0000, 0.0000, 0.0000), Sc at (0.5000, 0.5000, 0.5000), O at (0.0000, 0.5000, 0.5000) and F at (0.5000, 0.5000, 0.0000).

The total magnetization is 0.00 Bohr magnetons per cell. Its crystal system is tetragonal. Its density of states at the Fermi level is 0.00 states/eV per cell. The energy relative to the elements, uncorrected is -3233 meV/atom.